Record 1
Density functional theory data (GGA-PBE) for a geometry-optimized CdPAu2 structure.

abc: 5.2359 5.2359 5.2359
angles: 134.01 134.01 67.08
Closest atoms and distances in Å follow each position.
Positions (direct):
Cd 0.5000 0.5000 0.0000  8 Au 2.89-2.99, 4 P 2.99
P 0.7500 0.2500 0.5000  8 Au 2.89-2.99, 4 Cd 2.99
Au 0.2500 0.7500 0.5000  4 P 2.89, 4 Cd 2.99, 4 Au 2.99
Au 0.0000 0.0000 0.0000  4 Cd 2.89, 4 P 2.99, 4 Au 2.99

- Total DFT energy (no corrections): -3.04 eV/atom
- Calculated formation energy: 0.18 eV/atom
- Mass density: 12.2 g/cm3
- Space group: I-4m2
- Fermi-level density of states: 0.305 states/eV/atom
- ΔE to the lowest computed polymorph: 0.129 eV/atom

---

Record 2
Density functional theory data (GGA-PBE) for a geometry-optimized CdPAu2 structure.

abc: 4.7336 4.7336 4.7336
angles: 60.00 60.00 60.00
Closest atoms and distances in Å follow each position.
Positions (direct):
P 0.7500 0.7500 0.7500  4 Au 2.90, 4 Cd 2.90
Au 0.2500 0.2500 0.2500  4 Cd 2.90, 4 Au 2.90
Au 0.0000 0.0000 0.0000  4 Au 2.90, 4 P 2.90
Cd 0.5000 0.5000 0.5000  4 P 2.90, 4 Au 2.90

- Total DFT energy (no corrections): -2.94 eV/atom
- Calculated formation energy: 0.28 eV/atom
- Mass density: 11.9 g/cm3
- Space group: F-43m
- Fermi-level density of states: 1.108 states/eV/atom
- ΔE to the lowest computed polymorph: 0.232 eV/atom

---

Record 3
Density functional theory data (GGA-PBE) for a geometry-optimized CdPAu2 structure.

abc: 4.9943 4.9943 8.3246
angles: 72.54 72.54 90.00
Closest atoms and distances in Å follow each position.
Positions (direct):
Au 0.2194 0.6250 0.2500  2 P 2.39
Au 0.5306 0.1250 0.2500  2 P 2.39
Au 0.8750 0.7806 0.7500  2 P 2.39
Au 0.3750 0.4694 0.7500  2 P 2.39
P 0.5000 0.5000 0.0000  4 Au 2.39
P 0.2500 0.7500 0.5000  4 Au 2.39
Cd 0.7500 0.2500 0.5000  4 Au 2.84
Cd 0.0000 0.0000 0.0000  4 Au 2.84

- Total DFT energy (no corrections): -3.17 eV/atom
- Calculated formation energy: 0.05 eV/atom
- Mass density: 9.5 g/cm3
- Space group: I-42d
- Fermi-level density of states: 0.403 states/eV/atom
- ΔE to the lowest computed polymorph: 0.000 eV/atom

---

Record 4
Density functional theory data (GGA-PBE) for a geometry-optimized CdP3Au structure.

abc: 4.8744 4.8744 4.8744
angles: 90.00 90.00 90.00
Closest atoms and distances in Å follow each position.
Positions (direct):
Au 0.0000 0.0000 0.0000  6 P 2.44
Cd 0.5000 0.5000 0.5000  12 P 3.45
P 0.5000 0.0000 0.0000  2 Au 2.44
P 0.0000 0.0000 0.5000  2 Au 2.44
P 0.0000 0.5000 0.0000  2 Au 2.44

- Total DFT energy (no corrections): -3.04 eV/atom
- Calculated formation energy: 1.05 eV/atom
- Mass density: 5.8 g/cm3
- Space group: Pm-3m
- Fermi-level density of states: 1.133 states/eV/atom
- ΔE to the lowest computed polymorph: 0.000 eV/atom